Entry 1:
Density functional theory data (GGA-PBE) for crystalline NdInPbSe3 at its relaxed geometry.

crystal system: orthorhombic

Unit cell a=7.470 b=7.470 c=10.774 alpha=90.00 beta=90.00 gamma=146.16
Fractional positions:
Nd  0.000  0.000  0.000
Nd  0.000  0.000  0.500
In  0.455  0.545  0.750
In  0.545  0.455  0.250
Pb  0.255  0.745  0.250
Pb  0.745  0.255  0.750
Se  0.101  0.899  0.750
Se  0.354  0.646  0.529
Se  0.354  0.646  0.971
Se  0.646  0.354  0.029
Se  0.646  0.354  0.471
Se  0.899  0.101  0.250

---

Entry 2:
Density functional theory data (GGA-PBE) for crystalline NdInPd at its relaxed geometry.

crystal system: hexagonal

Unit cell a=8.423 b=8.423 c=3.376 alpha=90.00 beta=90.00 gamma=120.00
Fractional positions:
Nd  0.000  0.299  0.000
Nd  0.299  0.000  0.000
Nd  0.701  0.701  0.000
In  0.000  0.000  0.500
In  0.333  0.667  0.000
In  0.667  0.333  0.000
Pd  0.000  0.631  0.500
Pd  0.369  0.369  0.500
Pd  0.631  0.000  0.500

---

Entry 3:
Density functional theory data (GGA-PBE) for crystalline NdIn2Pd3 at its relaxed geometry.

crystal system: orthorhombic

Unit cell a=10.353 b=4.652 c=9.925 alpha=90.00 beta=90.00 gamma=90.00
Fractional positions:
Nd  0.230  0.250  0.055
Nd  0.270  0.750  0.555
Nd  0.730  0.250  0.445
Nd  0.770  0.750  0.945
In  0.015  0.250  0.614
In  0.104  0.750  0.839
In  0.396  0.250  0.339
In  0.485  0.750  0.114
In  0.515  0.250  0.886
In  0.604  0.750  0.661
In  0.896  0.250  0.161
In  0.985  0.750  0.386
Pd  0.027  0.750  0.105
Pd  0.121  0.250  0.354
Pd  0.241  0.250  0.758
Pd  0.259  0.750  0.258
Pd  0.379  0.750  0.854
Pd  0.473  0.250  0.605
Pd  0.527  0.750  0.395
Pd  0.621  0.250  0.146
Pd  0.741  0.250  0.742
Pd  0.759  0.750  0.242
Pd  0.879  0.750  0.646
Pd  0.973  0.250  0.895

---

Taking the records one at a time from the top gives calculated total energy values of -53.07; -40.77; -120.32 eV per cell.